# 1
The following is a DFT calculation (PBE) of BaCl after structural relaxation.

The structure in POSCAR format:
```
BaCl
1.0
-4.3204 0.6551 1.1978
-1.4664 -1.4066 4.0498
-1.0263 3.0248 3.2136
Cl Ba
1 1
Cartesian
-3.4066 1.1366 4.2306
0.0000 0.0000 0.0000
```

Crystal system: cubic
DOS(E_F) in states/eV/f.u.: 1.44
Formation energy (no corrections) in meV/atom: -1739
Symmetry: No. 225

# 2
The following is a DFT calculation (PBE) of Na6TlIn3 after structural relaxation.

The structure in POSCAR format:
```
Na6TlIn3
1.0
-3.4346 -0.1862 0.4711
1.0754 -11.9673 3.1243
1.3560 6.1038 12.2836
In Na Tl
6 12 2
Cartesian
0.2296 -1.6112 7.4259
-0.8809 0.2476 12.8581
-1.2327 -4.4385 8.4531
-0.1223 -6.2973 3.0210
1.3705 -5.6035 14.1709
-2.3737 -0.4463 1.7081
-0.2437 -0.8979 4.2660
0.5946 3.2890 12.0207
-2.0527 -3.5726 2.8158
0.7748 -7.2743 9.1744
0.0943 -4.1002 5.4692
-1.5977 -9.3387 3.8583
-1.0974 -1.9495 10.4098
-1.7780 1.2246 6.7046
1.0495 -2.4772 13.0632
-0.7595 -5.1518 11.6131
0.3977 1.0128 9.6895
-1.4009 -7.0625 6.1895
-1.5539 3.7719 9.3426
0.5507 -9.8216 6.5365
```

Crystal system: monoclinic
DOS(E_F) in states/eV/f.u.: 3.87
Formation energy in eV per atom: -0.0561
Symmetry: No. 11

# 3
The following is a DFT calculation (PBE) of Pm2DyPt3 after structural relaxation.

The structure in POSCAR format:
```
Pm2DyPt3
1.0
-1.0626 3.6579 1.6465
-4.9658 -0.0560 -3.0804
0.1612 -4.7240 5.3693
Pt Pm Dy
3 2 1
Cartesian
-1.9318 -1.9792 3.1501
0.0000 0.0000 0.0000
-3.9355 0.8571 0.7853
-1.4887 0.8480 2.3845
-4.3786 -1.9702 1.5510
-2.4829 -0.0280 -1.5402
```

Crystal system: orthorhombic
DOS(E_F) in states/eV/f.u.: 3.86
Formation energy in eV per atom: -1.0858
Symmetry: No. 71

# 4
The following is a DFT calculation (PBE) of Dy4TlBi2 after structural relaxation.

The structure in POSCAR format:
```
Dy4TlBi2
1.0
6.1120 0.0000 -0.0377
0.0000 6.6925 0.0000
-2.2869 0.0000 10.2918
Dy Tl Bi
8 2 4
Cartesian
2.7202 6.6573 2.6549
-1.8615 5.0194 8.6547
2.7202 3.3815 2.6549
-0.1963 5.0194 4.6772
4.0214 1.6731 5.5769
1.1049 3.3110 7.5992
5.6866 1.6731 1.5994
1.1049 0.0352 7.5992
0.0480 5.0194 1.6944
3.7772 1.6731 8.5598
2.9823 5.0194 5.5535
1.2324 5.0194 10.2623
2.5927 1.6731 -0.0082
0.8429 1.6731 4.7006
```

Crystal system: monoclinic
DOS(E_F) in states/eV/f.u.: 5.89
Formation energy in eV per atom: -0.4023
Symmetry: No. 11

Question: DOS(E_F) of number 2 (Na6TlIn3)?
Answer: 3.87 states/eV/f.u.